{"formula": "SrCdHg2", "functional": "GGA-PBEsol", "state": "relaxed", "mass_density_g_cm3": 10.07, "spacegroup": "F-43m (216)", "e_tot_ev_per_atom": -1.394, "e_form_ev_per_atom": -0.3513, "lattice_angstrom": [[5.1951, 0.0000, 0.0000], [2.5976, 4.4991, 0.0000], [2.5976, 1.4997, 4.2418]], "species": ["Hg", "Hg", "Cd", "Sr"], "fractional_positions": [[0.7500, 0.7500, 0.7500], [0.0000, 0.0000, 0.0000], [0.5000, 0.5000, 0.5000], [0.2500, 0.2500, 0.2500]]}

{"formula": "Na2ZnMoPt", "functional": "GGA-PBEsol", "state": "relaxed", "mass_density_g_cm3": 6.30, "spacegroup": "P4/mmm (123)", "e_tot_ev_per_atom": -3.314, "e_form_ev_per_atom": 1.3086, "lattice_angstrom": [[-0.6901, 3.4274, 3.0631], [0.2394, -3.0664, 3.4851], [4.8512, 0.7136, 0.2946]], "species": ["Mo", "Pt", "Na", "Na", "Zn"], "fractional_positions": [[0.0000, 0.0000, 0.5000], [0.5000, 0.5000, 0.5000], [0.5000, 0.0000, 0.0000], [0.0000, 0.5000, 0.0000], [0.0000, 0.0000, 0.0000]]}

{"formula": "FeBMo3", "functional": "GGA-PBEsol", "state": "relaxed", "mass_density_g_cm3": 7.31, "spacegroup": "Pm-3m (221)", "e_tot_ev_per_atom": -8.407, "e_form_ev_per_atom": 1.8497, "lattice_angstrom": [[4.3182, 0.0000, 0.0000], [0.0000, 4.3182, 0.0000], [0.0000, 0.0000, 4.3182]], "species": ["Mo", "Mo", "Mo", "B", "Fe"], "fractional_positions": [[0.5000, 0.0000, 0.0000], [0.0000, 0.0000, 0.5000], [0.0000, 0.5000, 0.0000], [0.5000, 0.5000, 0.5000], [0.0000, 0.0000, 0.0000]]}

{"formula": "ZnMo3", "functional": "GGA-PBEsol", "state": "relaxed", "mass_density_g_cm3": 9.79, "spacegroup": "P4/mmm (123)", "e_tot_ev_per_atom": -8.965, "e_form_ev_per_atom": 0.2566, "relative_energy_kj_per_mol_atoms": 21.72, "lattice_angstrom": [[2.6061, 0.0000, 0.0000], [0.0000, 2.6061, 0.0000], [0.0000, 0.0000, 8.8259]], "species": ["Mo", "Mo", "Mo", "Zn"], "fractional_positions": [[0.0000, 0.0000, 0.2385], [0.0000, 0.0000, 0.7615], [0.5000, 0.5000, 0.5000], [0.5000, 0.5000, 0.0000]]}

{"formula": "Na2SiIr", "functional": "GGA-PBEsol", "state": "relaxed", "mass_density_g_cm3": 3.34, "spacegroup": "I-42d (122)", "raw_formation_energy_mev_per_atom": 352, "e_tot_ev_per_atom": -4.241, "lattice_angstrom": [[-0.0578, -4.3653, -0.9945], [6.9607, -2.9823, 2.6067], [-3.2326, -3.6951, 6.3275]], "species": ["Ir", "Ir", "Na", "Na", "Na", "Na", "Si", "Si"], "fractional_positions": [[0.0000, 0.0000, 0.0000], [0.7500, 0.5000, 0.5000], [0.8283, 0.2967, 0.7967], [0.8750, 0.2033, 0.2967], [0.9217, 0.7033, 0.2033], [0.3750, 0.7967, 0.7033], [0.2500, 0.5000, 0.5000], [0.5000, 0.0000, 0.0000]]}

{"formula": "Tb6In23Pt12", "functional": "GGA-PBEsol", "state": "relaxed", "mass_density_g_cm3": 11.69, "spacegroup": "C2/m (12)", "e_tot_ev_per_atom": -5.117, "e_form_ev_per_atom": -0.6729, "lattice_angstrom": [[-3.5719, -2.5294, 0.2801], [9.7979, -9.5961, 3.9555], [-4.7913, 8.0278, 11.3929]], "species": ["In", "In", "In", "In", "In", "In", "In", "In", "In", "In", "In", "In", "In", "In", "In", "In", "In", "In", "In", "In", "In", "In", "In", "Pt", "Pt", "Pt", "Pt", "Pt", "Pt", "Pt", "Pt", "Pt", "Pt", "Pt", "Pt", "Tb", "Tb", "Tb", "Tb", "Tb", "Tb"], "fractional_positions": [[0.8541, 0.7082, 0.7201], [0.2728, 0.5455, 0.7561], [0.2382, 0.4764, 0.9163], [0.0000, 0.0000, 0.5000], [0.4242, 0.8483, 0.4940], [0.3269, 0.6537, 0.2826], [0.4711, 0.9421, 0.8250], [0.5923, 0.1846, 0.9499], [0.9549, 0.9098, 0.6662], [0.5289, 0.0579, 0.1750], [0.7272, 0.4545, 0.2439], [0.7618, 0.5236, 0.0837], [0.1232, 0.2463, 0.8290], [0.4077, 0.8154, 0.0501], [0.6731, 0.3463, 0.7174], [0.8768, 0.7537, 0.1710], [0.9439, 0.8877, 0.9385], [0.1459, 0.2918, 0.2799], [0.0451, 0.0902, 0.3338], [0.2867, 0.5733, 0.5656], [0.7133, 0.4267, 0.4344], [0.5758, 0.1517, 0.5060], [0.0561, 0.1123, 0.0615], [0.3807, 0.7614, 0.8508], [0.6193, 0.2386, 0.1492], [0.6093, 0.2185, 0.3583], [0.0998, 0.1995, 0.6342], [0.9674, 0.9348, 0.1421], [0.7466, 0.4932, 0.6357], [0.6797, 0.3593, 0.9102], [0.0326, 0.0652, 0.8579], [0.3203, 0.6407, 0.0898], [0.2534, 0.5068, 0.3643], [0.3907, 0.7815, 0.6417], [0.9002, 0.8005, 0.3658], [0.1780, 0.3560, 0.0779], [0.1663, 0.3327, 0.5317], [0.8337, 0.6673, 0.4683], [0.5459, 0.0918, 0.6976], [0.4541, 0.9082, 0.3024], [0.8220, 0.6440, 0.9221]]}

{"formula": "CaCuOF2", "functional": "GGA-PBEsol", "state": "relaxed", "mass_density_g_cm3": 3.34, "spacegroup": "P4/mmm (123)", "raw_formation_energy_mev_per_atom": -1446, "e_tot_ev_per_atom": -4.560, "lattice_angstrom": [[4.2001, 0.0000, 0.0000], [0.0000, 4.2001, 0.0000], [0.0000, 0.0000, 4.4430]], "species": ["O", "Ca", "Cu", "F", "F"], "fractional_positions": [[0.0000, 0.0000, 0.5000], [0.0000, 0.0000, 0.0000], [0.5000, 0.5000, 0.5000], [0.5000, 0.0000, 0.0000], [0.0000, 0.5000, 0.0000]]}

{"formula": "TaTlSCl2", "functional": "GGA-PBEsol", "state": "relaxed", "mass_density_g_cm3": 5.47, "spacegroup": "P4/mmm (123)", "raw_formation_energy_mev_per_atom": 396, "e_tot_ev_per_atom": -4.320, "lattice_angstrom": [[4.4709, 0.0000, 0.0000], [0.0000, 5.7590, 0.0000], [0.0000, 0.0000, 5.7590]], "species": ["S", "Ta", "Tl", "Cl", "Cl"], "fractional_positions": [[0.0000, 0.0000, 0.0000], [0.5000, 0.0000, 0.0000], [0.5000, 0.5000, 0.5000], [0.0000, 0.0000, 0.5000], [0.0000, 0.5000, 0.0000]]}

{"formula": "LiZnGa2P", "functional": "GGA-PBEsol", "state": "relaxed", "mass_density_g_cm3": 3.63, "spacegroup": "P4/mmm (123)", "e_tot_ev_per_atom": -2.894, "e_form_ev_per_atom": 0.3096, "lattice_angstrom": [[-1.7229, -4.2313, 0.7727], [4.3907, -1.5031, 1.5591], [-1.1731, 1.3119, 4.5685]], "species": ["Zn", "Li", "P", "Ga", "Ga"], "fractional_positions": [[0.5000, 0.0000, 0.0000], [0.5000, 0.5000, 0.5000], [0.0000, 0.0000, 0.0000], [0.0000, 0.0000, 0.5000], [0.0000, 0.5000, 0.0000]]}

{"formula": "Tl2HgOs", "functional": "GGA-PBEsol", "state": "relaxed", "mass_density_g_cm3": 16.10, "spacegroup": "P4/mmm (123)", "e_tot_ev_per_atom": -3.683, "e_form_ev_per_atom": 0.8275, "relative_energy_kj_per_mol_atoms": 13.82, "lattice_angstrom": [[3.0333, 0.0000, 0.0000], [0.0000, 5.2142, 0.0387], [0.0000, -0.0387, 5.2142]], "species": ["Tl", "Tl", "Os", "Hg"], "fractional_positions": [[0.0000, 0.0000, 0.5000], [0.0000, 0.5000, 0.0000], [0.5000, 0.5000, 0.5000], [0.5000, 0.0000, 0.0000]]}

{"formula": "LaZrCd2", "functional": "GGA-PBEsol", "state": "relaxed", "mass_density_g_cm3": 7.82, "spacegroup": "P4/mmm (123)", "e_tot_ev_per_atom": -4.291, "e_form_ev_per_atom": -0.0838, "lattice_angstrom": [[-3.1555, -0.3211, 0.3477], [0.4302, -5.3817, -1.0650], [0.6936, -1.0063, 5.3655]], "species": ["Zr", "Cd", "Cd", "La"], "fractional_positions": [[0.5000, 0.0000, 0.0000], [0.0000, 0.5000, 0.0000], [0.0000, 0.0000, 0.5000], [0.5000, 0.5000, 0.5000]]}

{"formula": "Ca2VN3", "functional": "GGA-PBEsol", "state": "relaxed", "mass_density_g_cm3": 3.49, "spacegroup": "C2/c (15)", "raw_formation_energy_mev_per_atom": -1326, "e_tot_ev_per_atom": -7.906, "lattice_angstrom": [[-1.1443, 0.7960, -5.3643], [-5.6214, -0.0270, -1.6682], [-0.6830, 11.4099, 1.3809]], "species": ["Ca", "Ca", "Ca", "Ca", "Ca", "Ca", "Ca", "Ca", "N", "N", "N", "N", "N", "N", "N", "N", "N", "N", "N", "N", "V", "V", "V", "V"], "fractional_positions": [[0.3847, 0.7749, 0.4229], [0.5368, 0.4068, 0.1477], [0.0565, 0.4068, 0.3523], [0.1597, 0.2251, 0.9229], [0.4632, 0.5932, 0.8523], [0.6153, 0.2251, 0.5771], [0.9435, 0.5932, 0.6477], [0.8403, 0.7749, 0.0771], [0.0116, 0.3270, 0.1285], [0.6614, 0.3270, 0.3715], [0.6224, 0.1851, 0.9628], [0.9884, 0.6730, 0.8715], [0.8076, 0.8149, 0.4628], [0.3386, 0.6730, 0.6285], [0.9089, 0.1822, 0.7500], [0.5060, 0.9879, 0.2500], [0.1924, 0.1851, 0.5372], [0.0911, 0.8178, 0.2500], [0.3776, 0.8149, 0.0372], [0.4940, 0.0121, 0.7500], [0.7680, 0.9992, 0.3376], [0.7672, 0.0008, 0.8376], [0.2320, 0.0008, 0.6624], [0.2328, 0.9992, 0.1624]]}

Copy entry 2 word for word.
{"formula": "Na2ZnMoPt", "functional": "GGA-PBEsol", "state": "relaxed", "mass_density_g_cm3": 6.30, "spacegroup": "P4/mmm (123)", "e_tot_ev_per_atom": -3.314, "e_form_ev_per_atom": 1.3086, "lattice_angstrom": [[-0.6901, 3.4274, 3.0631], [0.2394, -3.0664, 3.4851], [4.8512, 0.7136, 0.2946]], "species": ["Mo", "Pt", "Na", "Na", "Zn"], "fractional_positions": [[0.0000, 0.0000, 0.5000], [0.5000, 0.5000, 0.5000], [0.5000, 0.0000, 0.0000], [0.0000, 0.5000, 0.0000], [0.0000, 0.0000, 0.0000]]}